Density functional theory data (PBE) for a relaxed structure of LiCe2Pb.

Cell lengths 5.452, 5.452, 5.452 Å; angles 60.00, 60.00, 60.00 degrees
Site moments in Bohr magnetons follow the coordinates.
Sites, in units of the cell vectors:
Ce 0.000 0.000 0.000  1.05
Ce 0.500 0.500 0.500  1.05
Pb 0.250 0.250 0.250  -0.04
Li 0.750 0.750 0.750  0.03

Results
Volume = 28.65 Å³ per atom
Formation energy = -93 meV/atom
Symmetry = Fm-3m (225)